# 1
DFT (PBE) results for a geometry-optimized K2NbIrO6 structure.

Output
As for the uncorrected formation energy: -1.7196 eV per atom.

Cell: 7.9861 7.9861 7.9861 Å, 90.00 90.00 90.00°
Space group Fm-3m (No. 225)
One atom of each set of equivalent atoms:
K: 0.2500 0.2500 0.2500
Nb: 0.0000 0.0000 0.0000
Ir: 0.0000 0.0000 0.5000
O: 0.0000 0.0000 0.2523

# 2
DFT (PBE) results for a geometry-optimized CuTe2W structure.

Output
The polymorph energy (0 for the lowest one) comes out at 290 meV/atom. As for the uncorrected formation energy: 0.5747 eV per atom.

Cell: 3.6512 5.0369 9.8327 Å, 90.00 90.00 90.00°
Space group Cmm2 (No. 35)
One atom of each set of equivalent atoms:
Cu: 0.0000 0.0000 0.0000
Te: 0.0000 0.0000 0.6033
Te: 0.0000 0.5000 0.2068
W: 0.0000 0.5000 0.8136

# 3
DFT (PBE) results for a geometry-optimized BaPaAs2S8 structure.

Output
As for the uncorrected formation energy: -0.7139 eV per atom.

Cell: 6.3027 6.3027 9.1871 Å, 90.00 90.00 120.00°
Space group P-3 (No. 147)
One atom of each set of equivalent atoms:
Ba: 0.0000 0.0000 0.0000
Pa: 0.0000 0.0000 0.5000
As: 0.3333 0.6667 0.7525
S: 0.0156 0.6781 0.3184
S: 0.3333 0.6667 0.9849

# 4
DFT (PBE) results for a geometry-optimized NbFe2B2 structure.

Output
The formation energy comes out at -0.42 eV per atom.

Cell: 3.7843 3.0394 8.7793 Å, 90.00 95.68 90.00°
Space group P2_1/m (No. 11)
One atom of each set of equivalent atoms:
Nb: 0.1909 0.2500 0.2450
Fe: 0.2500 0.7500 0.4982
Fe: 0.3467 0.2500 0.9008
B: 0.1317 0.7500 0.0193
B: 0.2865 0.2500 0.6632

# 5
DFT (PBE) results for a geometry-optimized DyZrScPa structure.

Output
The formation energy comes out at 0.23 eV per atom.

Cell: 7.4298 7.4298 7.4298 Å, 90.00 90.00 90.00°
Space group F-43m (No. 216)
One atom of each set of equivalent atoms:
Dy: 0.0000 0.0000 0.0000
Zr: 0.2500 0.2500 0.7500
Sc: 0.2500 0.2500 0.2500
Pa: 0.0000 0.0000 0.5000

# 6
DFT (PBE) results for a geometry-optimized Er2RhSe structure.

Output
The polymorph energy (0 for the lowest one) comes out at 152 meV/atom. As for the uncorrected formation energy: -1.1518 eV per atom.

Cell: 3.4494 3.4494 7.1546 Å, 90.00 90.00 90.00°
Space group P4/mmm (No. 123)
One atom of each set of equivalent atoms:
Er: 0.0000 0.0000 0.2331
Rh: 0.5000 0.5000 0.0000
Se: 0.5000 0.5000 0.5000

# 7
DFT (PBE) results for a geometry-optimized In4C23 structure.

Output
The formation energy comes out at 1.36 eV per atom.

Cell: 7.5272 7.5272 7.5272 Å, 90.00 90.00 90.00°
Space group Pm-3n (No. 223)
One atom of each set of equivalent atoms:
In: 0.0000 0.0000 0.0000
In: 0.0000 0.2500 0.5000
C: 0.0000 0.2807 0.2017
C: 0.0000 0.5000 0.2500
C: 0.1869 0.1869 0.1869

# 8
DFT (PBE) results for a geometry-optimized Ba6Pb2N structure.

Output
The polymorph energy (0 for the lowest one) comes out at 160 meV/atom. As for the uncorrected formation energy: -0.3362 eV per atom.

Cell: 4.1863 16.9321 10.9497 Å, 90.00 90.00 90.00°
Space group Amm2 (No. 38)
One atom of each set of equivalent atoms:
Ba: 0.0000 0.0000 0.0000
Ba: 0.0000 0.0993 0.5867
Ba: 0.5000 0.0000 0.2972
Ba: 0.5000 0.2092 0.9133
Pb: 0.0000 0.1786 0.1943
N: 0.5000 0.0000 0.5256

Number 5 is which compound?
DyZrScPa